No. 1
# PBE Pr2InPt9, optimized geometry
# ΔH_f (0 K), kJ per mole of atoms: -61
# Uncorrected energy, eV/atom: -6.192
data_Pr2InPt9
_chemical_formula_sum 'Pr2 In1 Pt9'
_cell_length_a 9.486
_cell_length_b 9.486
_cell_length_c 9.486
_cell_angle_alpha 33.47
_cell_angle_beta 33.47
_cell_angle_gamma 33.47
_space_group_name_H-M_alt 'P 1'
_space_group_IT_number 1
loop_
_space_group_symop_operation_xyz
'x,y,z'
loop_
_atom_site_label
_atom_site_fract_x
_atom_site_fract_y
_atom_site_fract_z
Pr1 0.137 0.137 0.137
Pr2 0.863 0.863 0.863
In1 0.000 0.000 0.000
Pt1 0.081 0.586 0.586
Pt2 0.333 0.333 0.333
Pt3 0.414 0.414 0.919
Pt4 0.414 0.919 0.414
Pt5 0.500 0.500 0.500
Pt6 0.586 0.081 0.586
Pt7 0.586 0.586 0.081
Pt8 0.667 0.667 0.667
Pt9 0.919 0.414 0.414

---

No. 2
# PBE Pr3In2Pt4, optimized geometry
# ΔH_f (0 K), kJ per mole of atoms: -87
# Uncorrected energy, eV/atom: -5.790
data_Pr3In2Pt4
_chemical_formula_sum 'Pr3 In2 Pt4'
_cell_length_a 5.625
_cell_length_b 5.625
_cell_length_c 9.162
_cell_angle_alpha 94.44
_cell_angle_beta 94.44
_cell_angle_gamma 47.60
_space_group_name_H-M_alt 'P 1'
_space_group_IT_number 1
loop_
_space_group_symop_operation_xyz
'x,y,z'
loop_
_atom_site_label
_atom_site_fract_x
_atom_site_fract_y
_atom_site_fract_z
Pr1 0.000 0.000 0.000
Pr2 0.376 0.376 0.615
Pr3 0.624 0.624 0.385
In1 0.321 0.321 0.218
In2 0.679 0.679 0.782
Pt1 0.082 0.082 0.627
Pt2 0.291 0.291 0.914
Pt3 0.709 0.709 0.086
Pt4 0.918 0.918 0.373

---

No. 3
# PBE Pr2In3Pt4, optimized geometry
# ΔH_f (0 K), kJ per mole of atoms: -77
# Uncorrected energy, eV/atom: -5.459
data_Pr2In3Pt4
_chemical_formula_sum 'Pr4 In6 Pt8'
_cell_length_a 8.996
_cell_length_b 8.996
_cell_length_c 7.671
_cell_angle_alpha 90.00
_cell_angle_beta 90.00
_cell_angle_gamma 141.15
_space_group_name_H-M_alt 'P 1'
_space_group_IT_number 1
loop_
_space_group_symop_operation_xyz
'x,y,z'
loop_
_atom_site_label
_atom_site_fract_x
_atom_site_fract_y
_atom_site_fract_z
Pr1 0.102 0.898 0.910
Pr2 0.398 0.602 0.410
Pr3 0.602 0.398 0.590
Pr4 0.898 0.102 0.090
In1 0.000 0.000 0.500
In2 0.015 0.485 0.750
In3 0.485 0.015 0.250
In4 0.500 0.500 0.000
In5 0.515 0.985 0.750
In6 0.985 0.515 0.250
Pt1 0.167 0.833 0.526
Pt2 0.181 0.319 0.750
Pt3 0.319 0.181 0.250
Pt4 0.333 0.667 0.026
Pt5 0.667 0.333 0.974
Pt6 0.681 0.819 0.750
Pt7 0.819 0.681 0.250
Pt8 0.833 0.167 0.474

---

No. 4
# PBE Pr2In5Pt3, optimized geometry
# ΔH_f (0 K), kJ per mole of atoms: -71
# Uncorrected energy, eV/atom: -4.877
data_Pr2In5Pt3
_chemical_formula_sum 'Pr4 In10 Pt6'
_cell_length_a 13.689
_cell_length_b 13.689
_cell_length_c 7.425
_cell_angle_alpha 90.00
_cell_angle_beta 90.00
_cell_angle_gamma 160.81
_space_group_name_H-M_alt 'P 1'
_space_group_IT_number 1
loop_
_space_group_symop_operation_xyz
'x,y,z'
loop_
_atom_site_label
_atom_site_fract_x
_atom_site_fract_y
_atom_site_fract_z
Pr1 0.022 0.978 0.500
Pr2 0.325 0.675 0.569
Pr3 0.675 0.325 0.069
Pr4 0.978 0.022 0.000
In1 0.099 0.901 0.871
In2 0.207 0.793 0.368
In3 0.208 0.792 0.776
In4 0.375 0.625 0.024
In5 0.447 0.553 0.669
In6 0.553 0.447 0.169
In7 0.625 0.375 0.524
In8 0.792 0.208 0.276
In9 0.793 0.207 0.868
In10 0.901 0.099 0.371
Pt1 0.109 0.891 0.256
Pt2 0.272 0.728 0.074
Pt3 0.454 0.546 0.285
Pt4 0.546 0.454 0.785
Pt5 0.728 0.272 0.574
Pt6 0.891 0.109 0.756

---

Question: Which formula does entry 3 have?
Answer: Pr2In3Pt4

---

Question: ΔH_f (0 K) of number 2 (Pr3In2Pt4)?
Answer: -87 kJ per mole of atoms